Computed, not measured: crystalline AcLa2CdHg4 at its relaxed geometry at the PBE level of DFT.

a b c (Å): 5.3419 5.3419 28.6335
angles (deg): 90.00 90.00 120.00
Space group R-3m (No. 166, hexagonal axes)
Inequivalent atoms, fractional coordinates:
1 Ac 0.0000 0.0000 0.0000 x3
2 La 0.0000 0.0000 0.2370 x6
3 Cd 0.0000 0.0000 0.5000 x3
4 Hg 0.0000 0.0000 0.1243 x6
5 Hg 0.0000 0.0000 0.3812 x6

Output
**Calculated volume**: 707.6 Å³/cell
**Formation enthalpy at 0 K**: -0.442 eV/atom
**Size of the total moment**: 0.000 μB/f.u.
**Final energy**: -2.453 eV per atom

***

Computed, not measured: crystalline LiAc2CdPd at its relaxed geometry at the PBE level of DFT.

a b c (Å): 8.021 4.732 8.234
angles (deg): 90.00 109.98 90.00
Space group P2_1/m (No. 11)
Inequivalent atoms, fractional coordinates:
1 Li 0.064 0.250 0.165 x2
2 Ac 0.212 0.750 0.546 x2
3 Ac 0.388 0.750 0.158 x2
4 Cd 0.151 0.250 0.845 x2
5 Pd 0.391 0.250 0.418 x2

Output
**Calculated volume**: 293.7 Å³/cell
**Formation enthalpy at 0 K**: -0.417 eV/atom
**Size of the total moment**: 0.000 μB/f.u.
**Final energy**: -3.664 eV per atom

***

Computed, not measured: crystalline Ca2RuC4 at its relaxed geometry at the PBE level of DFT.

a b c (Å): 7.734 10.199 5.275
angles (deg): 90.00 90.00 90.00
Space group Ibam (No. 72)
Inequivalent atoms, fractional coordinates:
1 Ca 0.158 0.149 0.000 x8
2 Ru 0.000 0.500 0.250 x4
3 C 0.165 0.129 0.500 x8
4 C 0.180 0.421 0.000 x8

Output
**Calculated volume**: 416.1 Å³/cell
**Formation enthalpy at 0 K**: 0.032 eV/atom
**Size of the total moment**: 0.000 μB/f.u.
**Final energy**: -7.136 eV per atom

***

Computed, not measured: crystalline Sm5NiSe4 at its relaxed geometry at the PBE level of DFT.

a b c (Å): 9.267 9.267 5.919
angles (deg): 90.00 90.00 90.00
Space group I4/m (No. 87)
Inequivalent atoms, fractional coordinates:
1 Sm 0.000 0.000 0.000 x2
2 Sm 0.097 0.715 0.500 x8
3 Ni 0.000 0.000 0.500 x2
4 Se 0.093 0.695 0.000 x8

Output
**Calculated volume**: 508.4 Å³/cell
**ΔE_f (raw)**: -1.519 eV per atom
**Size of the total moment**: 0.000 μB/f.u.
**Final energy**: -5.851 eV per atom

***

Computed, not measured: crystalline GaTcRh at its relaxed geometry at the PBE level of DFT.

a b c (Å): 3.677 3.677 6.683
angles (deg): 90.00 90.00 90.00
Space group P4/nmm (No. 129, origin choice 2)
Inequivalent atoms, fractional coordinates:
1 Ga 0.250 0.250 0.190 x2
2 Tc 0.250 0.750 0.500 x2
3 Rh 0.250 0.250 0.815 x2

Output
**Calculated volume**: 90.3 Å³/cell
**Formation enthalpy at 0 K**: -0.198 eV/atom
**Relative energy among the computed polymorphs**: 43 meV per atom
**Size of the total moment**: 0.000 μB/f.u.
**Final energy**: -7.112 eV per atom

***

Computed, not measured: crystalline TaHgTe2 at its relaxed geometry at the PBE level of DFT.

a b c (Å): 3.6598 3.6598 30.8308
angles (deg): 90.00 90.00 120.00
Space group R-3m (No. 166, hexagonal axes)
Inequivalent atoms, fractional coordinates:
1 Ta 0.0000 0.0000 0.0000 x3
2 Hg 0.0000 0.0000 0.5000 x3
3 Te 0.0000 0.0000 0.2733 x6

Output
**Calculated volume**: 357.6 Å³/cell
**ΔE_f (raw)**: -0.235 eV per atom
**Size of the total moment**: 0.000 μB/f.u.
**Final energy**: -4.845 eV per atom

***

Computed, not measured: crystalline TaTc3Pd at its relaxed geometry at the PBE level of DFT.

a b c (Å): 4.676 4.676 4.676
angles (deg): 90.00 90.00 90.00
Space group Pm-3m (No. 221)
Inequivalent atoms, fractional coordinates:
1 Ta 0.000 0.000 0.000 x1
2 Tc 0.000 0.000 0.500 x3
3 Pd 0.500 0.500 0.500 x1

Output
**Calculated volume**: 102.3 Å³/cell
**Formation enthalpy at 0 K**: 1.780 eV/atom
**Relative energy among the computed polymorphs**: 0 meV per atom
**Size of the total moment**: 0.000 μB/f.u.
**Final energy**: -7.849 eV per atom

***

Computed, not measured: crystalline MnI3Cl at its relaxed geometry at the PBE level of DFT.

a b c (Å): 6.187 7.933 7.068
angles (deg): 90.00 97.77 90.00
Space group P2_1/m (No. 11)
Inequivalent atoms, fractional coordinates:
1 Mn 0.002 0.250 0.492 x2
2 I 0.211 0.502 0.328 x4
3 I 0.317 0.250 0.791 x2
4 Cl 0.261 0.750 0.754 x2

Output
**Calculated volume**: 343.7 Å³/cell
**ΔE_f (raw)**: -0.332 eV per atom
**Relative energy among the computed polymorphs**: 0 meV per atom
**Size of the total moment**: 2.984 μB/f.u.
**Final energy**: -3.465 eV per atom

***

Computed, not measured: crystalline Y3Sn at its relaxed geometry at the PBE level of DFT.

a b c (Å): 3.581 11.170 5.848
angles (deg): 90.00 90.00 90.00
Space group Imm2 (No. 44)
Inequivalent atoms, fractional coordinates:
1 Y 0.000 0.000 0.000 x2
2 Y 0.000 0.229 0.625 x4
3 Sn 0.000 0.500 0.969 x2

Output
**Calculated volume**: 233.9 Å³/cell
**Formation enthalpy at 0 K**: -0.368 eV/atom
**Size of the total moment**: 0.000 μB/f.u.
**Final energy**: -6.216 eV per atom

***

Computed, not measured: crystalline HfTl2Te2O6 at its relaxed geometry at the PBE level of DFT.

a b c (Å): 9.756 6.957 6.312
angles (deg): 90.00 113.75 90.00
Space group C2/m (No. 12)
Inequivalent atoms, fractional coordinates:
1 Hf 0.000 0.000 0.000 x2
2 Tl 0.193 0.000 0.623 x4
3 Te 0.062 0.500 0.772 x4
4 O 0.030 0.201 0.776 x8
5 O 0.234 0.000 0.204 x4

Output
**Calculated volume**: 392.2 Å³/cell
**ΔE_f (raw)**: -1.454 eV per atom
**Size of the total moment**: 0.000 μB/f.u.
**Final energy**: -6.064 eV per atom

***

Computed, not measured: crystalline Ce7Rh2Au2 at its relaxed geometry at the PBE level of DFT.

a b c (Å): 11.213 7.747 6.753
angles (deg): 90.00 90.27 90.00
Space group C2/m (No. 12)
Inequivalent atoms, fractional coordinates:
1 Ce 0.000 0.000 0.000 x2
2 Ce 0.001 0.500 0.223 x4
3 Ce 0.250 0.250 0.288 x8
4 Rh 0.233 0.500 0.999 x4
5 Au 0.000 0.181 0.500 x4

Output
**Calculated volume**: 586.7 Å³/cell
**Formation enthalpy at 0 K**: -0.339 eV/atom
**Size of the total moment**: 5.690 μB/f.u.
**Final energy**: -6.048 eV per atom

***

Computed, not measured: crystalline BaPb2W at its relaxed geometry at the PBE level of DFT.

a b c (Å): 4.812 4.812 10.207
angles (deg): 90.00 90.00 90.00
Space group I-4m2 (No. 119)
Inequivalent atoms, fractional coordinates:
1 Ba 0.000 0.000 0.000 x2
2 Pb 0.000 0.000 0.500 x2
3 Pb 0.000 0.500 0.750 x2
4 W 0.000 0.500 0.250 x2

Output
**Calculated volume**: 236.4 Å³/cell
**Formation enthalpy at 0 K**: 0.921 eV/atom
**Relative energy among the computed polymorphs**: 447 meV per atom
**Size of the total moment**: 2.601 μB/f.u.
**Final energy**: -4.652 eV per atom

***

> Which value of size of the total moment does entry 2 give?

0.000 μB/f.u.

***

> What is the final energy in the third record?

-7.136 eV per atom

***

> final energy of number 10 (HfTl2Te2O6)?

-6.064 eV per atom

***

> Which of these has the lowest final energy?

TaTc3Pd